Entry 1:
This record from the Alexandria database describes a relaxed RbLaHf2Pb crystal. The functional is PBE-GGA.

Cell and atoms, written as POSCAR:
```
RbLaHf2Pb
1.0
5.283 0.000 0.000
0.000 5.283 0.000
0.000 0.000 5.576
Rb La Hf Pb
1 1 2 1
direct
0.000 0.000 0.000
0.000 0.000 0.500
0.000 0.500 0.000
0.500 0.000 0.000
0.500 0.500 0.500
```

Output
Energy of formation from the pure elements = 170.2 kJ per mole of atoms

Entry 2:
This record from the Alexandria database describes a relaxed LaHfSc2Pb crystal. The functional is PBE-GGA.

Cell and atoms, written as POSCAR:
```
LaHfSc2Pb
1.0
5.205 0.000 0.000
0.000 5.205 0.000
0.000 0.000 5.656
La Hf Sc Pb
1 1 2 1
direct
0.000 0.000 0.000
0.500 0.500 0.500
0.000 0.500 0.500
0.500 0.000 0.500
0.500 0.500 0.000
```

Output
Energy of formation from the pure elements = 37.2 kJ per mole of atoms

Entry 3:
This record from the Alexandria database describes a relaxed Sr2LaHfPb crystal. The functional is PBE-GGA.

Cell and atoms, written as POSCAR:
```
Sr2LaHfPb
1.0
6.074 0.000 0.000
0.000 6.074 0.000
0.000 0.000 5.920
Sr La Hf Pb
2 1 1 1
direct
0.000 0.500 0.000
0.500 0.000 0.000
0.000 0.000 0.000
0.500 0.500 0.500
0.000 0.000 0.500
```

Output
Energy of formation from the pure elements = 124.5 kJ per mole of atoms

Entry 4:
This record from the Alexandria database describes a relaxed La2HfTePb crystal. The functional is PBE-GGA.

Cell and atoms, written as POSCAR:
```
La2HfTePb
1.0
5.956 0.000 0.000
0.000 5.956 0.000
0.000 0.000 5.274
La Hf Te Pb
2 1 1 1
direct
0.000 0.500 0.000
0.500 0.000 0.000
0.000 0.000 0.500
0.000 0.000 0.000
0.500 0.500 0.500
```

Output
Formation energy from raw total energies = -0.014 eV per formula unit